The following is a DFT calculation (GGA-PBEsol) of an optimized crystal structure of Li2AlCd.

POSCAR file:
```
Li2AlCd
1.0
3.287 0.000 0.000
0.000 3.287 0.000
0.000 0.000 6.004
Li Al Cd
2 1 1
Direct
0.000 0.000 0.243
0.000 0.000 0.757
0.500 0.500 0.000
0.500 0.500 0.500
```

* V: 64.89 Å³ per cell
* symmetry: P4/mmm
* ΔE_f: -0.164 eV per atom